A relaxed PaTlPd14 crystal, computed with PBE.

Values from the calculation:
- space-group type = P4/mmm
- volume (A^3/atom) = 16.4
- ΔH_f (0 K) (eV/atom) = -0.3017
- size of the total moment (μB/atom) = 0.0000

a = 5.8196 Å, b = 5.8196 Å, c = 7.7516 Å
α = 90.00°, β = 90.00°, γ = 90.00°
Atoms (fractional coordinates):
Pd  0.1282  0.6218  0.7532
Pd  0.6218  0.1282  0.7532
Pd  0.8750  0.3750  0.5000
Pa  0.3750  0.3750  0.5000
Pd  0.3750  0.3750  0.0000
Pd  0.3750  0.8750  0.0000
Tl  0.8750  0.8750  0.5000
Pd  0.6218  0.6218  0.7532
Pd  0.6218  0.1282  0.2468
Pd  0.1282  0.1282  0.7532
Pd  0.1282  0.1282  0.2468
Pd  0.8750  0.3750  0.0000
Pd  0.3750  0.8750  0.5000
Pd  0.8750  0.8750  0.0000
Pd  0.6218  0.6218  0.2468
Pd  0.1282  0.6218  0.2468

---

A relaxed Ta2NbHPt crystal, computed with PBE.

Values from the calculation:
- DFT total energy (eV per atom) = -8.905
- space-group type = P4/mmm
- volume (A^3/atom) = 14.4
- size of the total moment (μB/atom) = 0.0000

a = 4.2764 Å, b = 4.2764 Å, c = 3.9235 Å
α = 90.00°, β = 90.00°, γ = 90.00°
Atoms (fractional coordinates):
H  0.0000  0.0000  0.0000
Ta  0.0000  0.5000  0.0000
Nb  0.0000  0.0000  0.5000
Pt  0.5000  0.5000  0.5000
Ta  0.5000  0.0000  0.0000

---

A relaxed Ca4Ge2O crystal, computed with PBE.

Values from the calculation:
- space-group type = I4/mmm
- volume (A^3/atom) = 24.0
- uncorrected formation energy (kJ/mol of atoms) = -113
- size of the total moment (μB/atom) = 0.0000

a = 4.7470 Å, b = 4.7470 Å, c = 8.1751 Å
α = 73.12°, β = 73.12°, γ = 90.00°
Atoms (fractional coordinates):
Ca  0.0000  0.5000  0.0000
Ca  0.8317  0.8317  0.3366
O  0.0000  0.0000  0.0000
Ge  0.3711  0.3711  0.2578
Ge  0.6289  0.6289  0.7422
Ca  0.1683  0.1683  0.6634
Ca  0.5000  0.0000  0.0000

---

A relaxed Pm2ErCd2Ag2 crystal, computed with PBE.

Values from the calculation:
- space-group type = R-3m
- volume (A^3/atom) = 25.9
- ΔH_f (0 K) (eV/atom) = -0.1787
- size of the total moment (μB/atom) = 0.0000

a = 4.8845 Å, b = 4.8845 Å, c = 9.2119 Å
α = 74.63°, β = 74.63°, γ = 60.00°
Atoms (fractional coordinates):
Ag  0.3925  0.3925  0.8225
Er  0.0000  0.0000  0.0000
Pm  0.8765  0.8765  0.3706
Ag  0.6075  0.6075  0.1775
Pm  0.1235  0.1235  0.6294
Cd  0.2674  0.2674  0.1977
Cd  0.7326  0.7326  0.8023

---

A relaxed Mn2In2As crystal, computed with PBE.

Values from the calculation:
- space-group type = I4/mmm
- volume (A^3/atom) = 18.4
- ΔH_f (0 K) (eV/atom) = 0.5038
- size of the total moment (μB/atom) = 0.2297

a = 3.2780 Å, b = 3.2780 Å, c = 8.8506 Å
α = 79.33°, β = 79.33°, γ = 90.00°
Site moments in Bohr magnetons follow the coordinates.
Atoms (fractional coordinates):
Mn  0.2500  0.7500  0.5000  0.54
In  0.3838  0.3838  0.2324  0.00
Mn  0.7500  0.2500  0.5000  0.54
In  0.6162  0.6162  0.7676  0.00
As  0.0000  0.0000  0.0000  0.02

---

A relaxed PIrRu2 crystal, computed with PBE.

Values from the calculation:
- space-group type = R3m
- volume (A^3/atom) = 13.7
- ΔH_f (0 K) (eV/atom) = -0.0297
- size of the total moment (μB/atom) = 0.0000

a = 8.2172 Å, b = 8.2172 Å, c = 8.2172 Å
α = 19.63°, β = 19.63°, γ = 19.63°
Atoms (fractional coordinates):
Ru  0.7482  0.7482  0.7482
Ru  0.9916  0.9916  0.9916
P  0.2515  0.2515  0.2515
Ir  0.5088  0.5088  0.5088

---

A relaxed AcPuSn crystal, computed with PBE.

Values from the calculation:
- space-group type = P3m1
- volume (A^3/atom) = 30.2
- ΔH_f (0 K) (eV/atom) = -0.0438
- size of the total moment (μB/atom) = 2.1995

a = 3.4383 Å, b = 5.5147 Å, c = 5.5147 Å
α = 120.00°, β = 90.00°, γ = 90.00°
Site moments in Bohr magnetons follow the coordinates.
Atoms (fractional coordinates):
Sn  0.6665  0.6667  0.3333  -0.06
Ac  0.1658  0.0000  0.0000  0.21
Pu  0.1677  0.3333  0.6667  5.85